No. 1
PBE KRe2As, relaxed; formation energy from the elements = 67.1 kJ/mol of atoms; symmetry = Cmm2, No. 35; DFT total energy = -6.965 eV/atom
1.0
3.0890 0.0000 0.0000
0.0000 4.8133 0.0000
0.0000 0.0000 9.9613
K Re As
2 4 2
Direct
0.0000 0.0000 0.0000
0.5000 0.5000 0.0000
0.0000 0.0000 0.5057
0.0000 0.5000 0.2957
0.5000 0.0000 0.2957
0.5000 0.5000 0.5057
0.0000 0.5000 0.7162
0.5000 0.0000 0.7162


No. 2
PBE K2ReAs, relaxed; formation energy from the elements = 114.2 kJ/mol of atoms; symmetry = I-4m2, No. 119; DFT total energy = -3.639 eV/atom
1.0
5.2145 0.0000 0.0000
0.0000 5.2145 0.0000
0.0000 0.0000 7.3618
K Re As
4 2 2
Direct
0.0000 0.0000 0.0000
0.0000 0.5000 0.2500
0.5000 0.0000 0.7500
0.5000 0.5000 0.5000
0.0000 0.0000 0.5000
0.5000 0.5000 0.0000
0.0000 0.5000 0.7500
0.5000 0.0000 0.2500


No. 3
PBE K2ReAs, relaxed; formation energy from the elements = 47.8 kJ/mol of atoms; symmetry = C2/m, No. 12; DFT total energy = -4.328 eV/atom
1.0
20.5322 0.0000 0.0000
0.0000 3.1398 0.0000
-0.7411 0.0000 3.8907
K Re As
4 2 2
Direct
0.1447 0.0000 0.1412
0.3553 0.5000 0.8588
0.6447 0.5000 0.1412
0.8553 0.0000 0.8588
0.0000 0.0000 0.5000
0.5000 0.5000 0.5000
0.0000 0.5000 0.0000
0.5000 0.0000 0.0000


No. 4
PBE KRe2As, relaxed; formation energy from the elements = 115.9 kJ/mol of atoms; symmetry = C2/m, No. 12; DFT total energy = -6.460 eV/atom
1.0
5.6423 0.0000 0.0000
0.0000 11.1242 0.0000
-1.0341 0.0000 2.3890
K Re As
2 4 2
Direct
0.0000 0.0000 0.0000
0.5000 0.5000 0.0000
0.2500 0.2500 0.0000
0.2500 0.7500 0.0000
0.7500 0.2500 0.0000
0.7500 0.7500 0.0000
0.0000 0.5000 0.0000
0.5000 0.0000 0.0000


No. 5
PBE K2ReAs, relaxed; formation energy from the elements = 90.6 kJ/mol of atoms; symmetry = P2/m, No. 10; DFT total energy = -3.884 eV/atom
1.0
2.8862 0.0000 0.0000
0.0000 5.6070 0.0000
-0.0675 0.0000 5.4427
K Re As
2 1 1
Direct
0.0082 0.0000 0.2507
0.9918 0.0000 0.7493
0.5000 0.5000 0.0000
0.5000 0.5000 0.5000


No. 6
PBE KRe2As, relaxed; formation energy from the elements = 102.9 kJ/mol of atoms; symmetry = P4/mmm, No. 123; DFT total energy = -6.594 eV/atom
1.0
3.1567 0.0000 0.0000
0.0000 3.1567 0.0000
0.0000 0.0000 8.4611
K Re As
1 2 1
Direct
0.0000 0.0000 0.0000
0.5000 0.5000 0.3487
0.5000 0.5000 0.6513
0.0000 0.0000 0.5000


No. 7
PBE KRe2As, relaxed; formation energy from the elements = 113.9 kJ/mol of atoms; symmetry = Pmmm, No. 47; DFT total energy = -6.480 eV/atom
1.0
2.8246 0.0000 0.0000
0.0000 4.4701 0.0000
0.0000 0.0000 7.0685
K Re As
1 2 1
Direct
0.0000 0.0000 0.0000
0.5000 0.5000 0.3417
0.5000 0.5000 0.6583
0.0000 0.0000 0.5000


No. 8
PBE KRe2As, relaxed; formation energy from the elements = 99.7 kJ/mol of atoms; symmetry = P2/m, No. 10; DFT total energy = -6.627 eV/atom
1.0
2.6278 0.0000 0.0000
0.0000 5.1222 0.0000
-0.2467 0.0000 6.2141
K Re As
1 2 1
Direct
0.0000 0.0000 0.0000
0.4038 0.5000 0.3155
0.5962 0.5000 0.6845
0.5000 0.0000 0.5000


No. 9
PBE K2ReAs, relaxed; formation energy from the elements = 91.0 kJ/mol of atoms; symmetry = C2/m, No. 12; DFT total energy = -3.880 eV/atom
1.0
5.6057 0.0000 0.0000
0.0000 11.1807 0.0000
-0.0079 0.0000 2.8015
K Re As
4 2 2
Direct
0.2500 0.2500 0.0000
0.2500 0.7500 0.0000
0.7500 0.2500 0.0000
0.7500 0.7500 0.0000
0.0000 0.0000 0.5000
0.5000 0.5000 0.5000
0.0000 0.5000 0.5000
0.5000 0.0000 0.5000


No. 10
PBE KRe2As, relaxed; formation energy from the elements = 42.6 kJ/mol of atoms; symmetry = P4mm, No. 99; DFT total energy = -7.219 eV/atom
1.0
2.9979 0.0000 0.0000
0.0000 2.9979 0.0000
0.0000 0.0000 8.8833
K Re As
1 2 1
Direct
0.0000 0.0000 0.0000
0.0000 0.0000 0.5005
0.5000 0.5000 0.3276
0.5000 0.5000 0.6937


No. 11
PBE KRe2As, relaxed; formation energy from the elements = 100.8 kJ/mol of atoms; symmetry = Cmmm, No. 65; DFT total energy = -6.616 eV/atom
1.0
3.0522 0.0000 0.0000
0.0000 4.9202 0.0000
0.0000 0.0000 9.8589
K Re As
2 4 2
Direct
0.0000 0.0000 0.0000
0.5000 0.5000 0.0000
0.0000 0.5000 0.3019
0.0000 0.5000 0.6981
0.5000 0.0000 0.3019
0.5000 0.0000 0.6981
0.0000 0.0000 0.5000
0.5000 0.5000 0.5000


No. 12
PBE KRe2As, relaxed; formation energy from the elements = 44.6 kJ/mol of atoms; symmetry = Pmm2, No. 25; DFT total energy = -7.199 eV/atom
1.0
2.8232 0.0000 0.0000
0.0000 3.9500 0.0000
0.0000 0.0000 7.6418
K Re As
1 2 1
Direct
0.0000 0.0000 0.0000
0.0000 0.0000 0.4956
0.5000 0.5000 0.3619
0.5000 0.5000 0.6895